a:
A plane-wave DFT calculation with PBE was carried out for an optimized crystal structure of BAuF3.

**DOS at the Fermi energy**: 0.20 states/eV/atom
**Crystal system**: cubic

Cell lengths 3.818, 3.818, 3.818 Å; angles 90.00, 90.00, 90.00 degrees
Atoms (fractional coordinates):
B1 0.000 0.000 0.000
Au1 0.500 0.500 0.500
F1 0.000 0.000 0.500
F2 0.000 0.500 0.000
F3 0.500 0.000 0.000

=====

b:
A plane-wave DFT calculation with PBE was carried out for an optimized crystal structure of BAuF3.

**DOS at the Fermi energy**: 0.27 states/eV/atom
**Crystal system**: cubic

Cell lengths 4.390, 4.390, 4.390 Å; angles 90.00, 90.00, 90.00 degrees
Atoms (fractional coordinates):
B1 0.000 0.000 0.000
Au1 0.500 0.500 0.500
F1 0.000 0.500 0.500
F2 0.500 0.000 0.500
F3 0.500 0.500 0.000

=====

Top of the stability list: a, leading by 0.542 eV/atom.